[1]
Density functional theory data (SCAN) for a crystal of MgAgSb2 relaxed with PBEsol.

CIF file:
```
data_MgAgSb2
_symmetry_space_group_name_H-M 'P m m m'
_symmetry_Int_Tables_number 47
_cell_length_a 4.1971
_cell_length_b 4.3996
_cell_length_c 4.8844
_cell_angle_alpha 90.00
_cell_angle_beta 90.00
_cell_angle_gamma 90.00
loop_
_symmetry_equiv_pos_as_xyz
'x,y,z'
'-x,-y,-z'
'-x,-y,z'
'x,y,-z'
'x,-y,-z'
'-x,y,z'
'-x,y,-z'
'x,-y,z'
loop_
_atom_site_label
_atom_site_type_symbol
_atom_site_fract_x
_atom_site_fract_y
_atom_site_fract_z
Mg1 Mg 0.0000 0.0000 0.0000
Ag1 Ag 0.0000 0.5000 0.5000
Sb1 Sb 0.5000 0.0000 0.5000
Sb2 Sb 0.5000 0.5000 0.0000
```

Properties
The total energy is -27.700 eV/atom. The uncorrected formation energy comes out at 0.1 eV per formula unit. As for the magnetic moment: 0.00 μB per atom.



[2]
Density functional theory data (SCAN) for a crystal of MgAgSb2 relaxed with PBEsol.

CIF file:
```
data_MgAgSb2
_symmetry_space_group_name_H-M 'P 4/m m m'
_symmetry_Int_Tables_number 123
_symmetry_space_group_name_Hall '-P 4 2'
_cell_length_a 3.3189
_cell_length_b 3.3189
_cell_length_c 8.2206
_cell_angle_alpha 90.00
_cell_angle_beta 90.00
_cell_angle_gamma 90.00
loop_
_atom_site_label
_atom_site_type_symbol
_atom_site_fract_x
_atom_site_fract_y
_atom_site_fract_z
Mg1 Mg 0.0000 0.0000 0.0000
Ag1 Ag 0.0000 0.0000 0.5000
Sb1 Sb 0.5000 0.5000 0.2557
```

Properties
The total energy is -27.687 eV/atom. The uncorrected formation energy comes out at 0.1 eV per formula unit. As for the magnetic moment: 0.00 μB per atom.